1.
First-principles (PBE-GGA) data for a relaxed structure of LiAcEuBi, as listed in Alexandria.

abc: 8.1017 8.1017 8.1017
angles: 90.00 90.00 90.00
Closest atoms and distances in Å follow each position.
Space group F-43m (No. 216)
One atom of each set of equivalent atoms:
1 Li 0.0000 0.0000 0.0000 x4  4 Eu 3.51, 4 Ac 3.51
2 Ac 0.2500 0.2500 0.2500 x4  4 Li 3.51, 4 Bi 3.51
3 Eu 0.2500 0.2500 0.7500 x4  4 Li 3.51, 4 Bi 3.51
4 Bi 0.0000 0.0000 0.5000 x4  4 Ac 3.51, 4 Eu 3.51

Values from the calculation:
Energy of formation (meV per atom): -389
Spin magnetization (μB per cell): 32.088
Calculated density (g/cm3): 7.43
Electronic total energy (eV/cell): -86.934


2.
First-principles (PBE-GGA) data for a relaxed structure of AcNdEuBi, as listed in Alexandria.

abc: 8.2234 8.2234 8.2234
angles: 90.00 90.00 90.00
Closest atoms and distances in Å follow each position.
Space group F-43m (No. 216)
One atom of each set of equivalent atoms:
1 Ac 0.0000 0.0000 0.0000 x4  4 Nd 3.56, 4 Eu 3.56
2 Nd 0.2500 0.2500 0.2500 x4  4 Bi 3.56, 4 Ac 3.56
3 Eu 0.2500 0.2500 0.7500 x4  4 Ac 3.56, 4 Bi 3.56
4 Bi 0.0000 0.0000 0.5000 x4  4 Eu 3.56, 4 Nd 3.56

Values from the calculation:
Energy of formation (meV per atom): -189
Spin magnetization (μB per cell): 32.837
Calculated density (g/cm3): 8.75
Electronic total energy (eV/cell): -95.153


3.
First-principles (PBE-GGA) data for a relaxed structure of AcEuBiPb, as listed in Alexandria.

abc: 8.2331 8.2331 8.2331
angles: 90.00 90.00 90.00
Closest atoms and distances in Å follow each position.
Space group F-43m (No. 216)
One atom of each set of equivalent atoms:
1 Ac 0.0000 0.0000 0.0000 x4  4 Pb 3.57, 4 Bi 3.57
2 Eu 0.0000 0.0000 0.5000 x4  4 Pb 3.57, 4 Bi 3.57
3 Bi 0.2500 0.2500 0.2500 x4  4 Eu 3.57, 4 Ac 3.57
4 Pb 0.2500 0.2500 0.7500 x4  4 Ac 3.57, 4 Eu 3.57

Values from the calculation:
Energy of formation (meV per atom): -585
Spin magnetization (μB per cell): 28.418
Calculated density (g/cm3): 9.46
Electronic total energy (eV/cell): -97.252